Computed, not measured: crystalline LiGePt3 at its relaxed geometry at the PBE-GGA level of DFT.

Calculated values
Formation enthalpy at 0 K: -2.0 eV/f.u.
E above lowest polymorph: 0 meV per atom
Calculated total energy: -5.33 eV/atom
SG: P2_1/m
Fermi-level density of states: 2.08 states/eV/f.u.

Unit cell a=4.4357 b=7.0728 c=5.0505 alpha=90.00 beta=91.48 gamma=90.00
Closest atoms and distances in Å follow each position.
Sites, in units of the cell vectors:
1 Li 0.1357 0.2500 0.0616  6 Pt 2.48-2.75, 2 Ge 2.56-2.61
2 Li 0.8643 0.7500 0.9384  6 Pt 2.48-2.75, 2 Ge 2.56-2.61
3 Ge 0.3786 0.7500 0.2025  6 Pt 2.41-2.69, 2 Li 2.56-2.61
4 Ge 0.6214 0.2500 0.7975  6 Pt 2.41-2.69, 2 Li 2.56-2.61
5 Pt 0.0781 0.2500 0.5479  2 Ge 2.41-2.69, 2 Li 2.48-2.60
6 Pt 0.3587 0.5611 0.7524  2 Ge 2.50-2.64, 3 Pt 2.67-2.77, 2 Li 2.75
7 Pt 0.3587 0.9389 0.7524  2 Ge 2.50-2.64, 3 Pt 2.67-2.77, 2 Li 2.75
8 Pt 0.6413 0.0611 0.2476  2 Ge 2.50-2.64, 3 Pt 2.67-2.77, 2 Li 2.75
9 Pt 0.6413 0.4389 0.2476  2 Ge 2.50-2.64, 3 Pt 2.67-2.77, 2 Li 2.75
10 Pt 0.9219 0.7500 0.4521  2 Ge 2.41-2.69, 2 Li 2.48-2.60